[1]
VASP calculation (PBE-GGA) on crystalline SbPtPb2 at its relaxed geometry.

Computed properties:
- total energy (eV/atom) = -4.493
- space-group type = Pm, No. 6
- V (Å³/cell) = 106.72

a b c (Å): 4.3125 4.0447 6.4764
angles (deg): 90.00 109.14 90.00
Element x y z (fractional)
Sb1 0.0000 0.0000 0.0000
Pt1 0.1546 0.5000 0.2973
Pb1 0.3870 0.5000 0.7746
Pb2 0.7138 0.0000 0.4237



[2]
VASP calculation (PBE-GGA) on crystalline Ti2GeC at its relaxed geometry.

Computed properties:
- total energy (eV/atom) = -6.957
- DFT formation energy (meV per atom) = 451
- space-group type = Fm-3m, No. 225
- energy above the most stable polymorph in this dataset (meV/atom) = 1255
- V (Å³/cell) = 53.84

a b c (Å): 4.2385 4.2385 4.2385
angles (deg): 60.00 60.00 60.00
Element x y z (fractional)
Ti1 0.2500 0.2500 0.2500
Ti2 0.7500 0.7500 0.7500
Ge1 0.0000 0.0000 0.0000
C1 0.5000 0.5000 0.5000



[3]
VASP calculation (PBE-GGA) on crystalline CrHPd3 at its relaxed geometry.

Computed properties:
- total energy (eV/atom) = -5.611
- space-group type = C2/c, No. 15
- energy above the most stable polymorph in this dataset (meV/atom) = 190
- V (Å³/cell) = 256.41

a b c (Å): 7.0292 7.0292 5.5870
angles (deg): 100.95 100.95 72.92
Element x y z (fractional)
Cr1 0.0123 0.9877 0.7500
Cr2 0.2935 0.7065 0.7500
Cr3 0.7065 0.2935 0.2500
Cr4 0.9877 0.0123 0.2500
H1 0.2684 0.6158 0.4059
H2 0.3842 0.7316 0.0941
H3 0.6158 0.2684 0.9059
H4 0.7316 0.3842 0.5941
Pd1 0.0023 0.6762 0.4076
Pd2 0.0056 0.3249 0.0825
Pd3 0.3238 0.9977 0.0924
Pd4 0.3249 0.0056 0.5825
Pd5 0.3578 0.3722 0.9308
Pd6 0.3722 0.3578 0.4308
Pd7 0.6278 0.6422 0.5692
Pd8 0.6422 0.6278 0.0692
Pd9 0.6751 0.9944 0.4175
Pd10 0.6762 0.0023 0.9076
Pd11 0.9944 0.6751 0.9175
Pd12 0.9977 0.3238 0.5924



[4]
VASP calculation (PBE-GGA) on crystalline Sb2Te2Br at its relaxed geometry.

Computed properties:
- total energy (eV/atom) = -3.287
- space-group type = P4/mbm, No. 127
- energy above the most stable polymorph in this dataset (meV/atom) = 119
- V (Å³/cell) = 295.50

a b c (Å): 8.4715 8.4715 4.1175
angles (deg): 90.00 90.00 90.00
Element x y z (fractional)
Sb1 0.1672 0.3328 0.0000
Sb2 0.3328 0.8328 0.0000
Sb3 0.6672 0.1672 0.0000
Sb4 0.8328 0.6672 0.0000
Te1 0.1478 0.6478 0.5000
Te2 0.3522 0.1478 0.5000
Te3 0.6478 0.8522 0.5000
Te4 0.8522 0.3522 0.5000
Br1 0.0000 0.0000 0.0000
Br2 0.5000 0.5000 0.0000